(1)
4
Lattice="-0.560 3.041 0.829 -1.984 -1.501 -2.016 -5.781 -3.283 8.135" Properties=species:S:1:pos:R:3 comment="MgSc GGA-PBEsol relaxed" vol_a3_per_atom=23.32 crystal_system=trigonal formation_enthalpy_0k_mev_per_atom=10 spacegroup="P-3m1 (164)" pbc="T T T"
Sc -3.227 0.282 2.967
Sc -5.098 -2.025 3.983
Mg -6.090 -1.344 6.995
Mg -2.235 -0.399 -0.046

(2)
19
Lattice="-0.025 -5.552 -0.693 2.770 2.080 5.824 -7.378 -0.106 1.117" Properties=species:S:1:pos:R:3 comment="Y5Re2O12 GGA-PBEsol relaxed" vol_a3_per_atom=12.91 crystal_system=monoclinic spacegroup="C2/m (12)" e_form_raw_mev_per_atom=-2958 pbc="T T T"
O -3.403 -4.428 1.809
O 0.284 -1.641 1.733
O -4.918 -1.937 4.515
O -5.847 -0.085 0.895
O -1.231 0.849 4.439
O -4.905 0.812 4.858
O 1.214 -3.493 5.353
O -3.390 -1.675 2.153
O -3.317 -0.781 6.381
O -1.317 -2.797 -0.133
O -1.244 -1.904 4.095
O 0.271 -4.390 1.390
Y -5.079 -3.122 2.606
Y 0.445 -0.457 3.642
Y -1.571 -3.088 2.210
Y -3.063 -0.490 4.038
Y -3.689 -0.053 0.559
Re -0.005 -1.196 -0.149
Re -0.020 -4.356 -0.544

(3)
32
Lattice="6.193 0.000 0.000 0.000 6.193 0.000 -3.096 -3.096 16.714" Properties=species:S:1:pos:R:3 comment="CoSn3 GGA-PBEsol relaxed" vol_a3_per_atom=20.03 crystal_system=tetragonal formation_enthalpy_0k_mev_per_atom=-113 spacegroup="I4_1/acd (142)" pbc="T T T"
Sn 5.073 1.968 2.763
Sn 2.084 2.084 8.357
Sn 4.216 5.065 2.763
Sn 4.216 1.968 5.595
Sn 1.012 -1.012 8.357
Sn 1.120 4.224 2.763
Sn 1.968 -1.120 13.952
Sn 4.108 1.012 0.000
Sn 1.012 2.084 0.000
Sn -1.968 1.977 11.120
Sn 2.084 5.181 0.000
Sn -1.128 -1.977 13.952
Sn 1.977 1.128 2.763
Sn 1.128 1.977 13.952
Sn 5.181 4.108 0.000
Sn -1.128 -1.120 11.120
Sn 1.977 4.224 5.595
Sn 5.073 5.065 5.595
Sn 1.968 -1.977 11.120
Sn 1.128 1.120 11.120
Sn -1.012 1.012 8.357
Sn 4.108 4.108 8.357
Sn -1.968 1.120 13.952
Sn 1.120 1.128 5.595
Co 3.096 3.096 1.334
Co 0.000 3.096 7.023
Co 3.096 3.096 15.380
Co 0.000 0.000 15.380
Co 0.000 0.000 1.334
Co 3.096 0.000 9.692
Co 0.000 3.096 9.692
Co 3.096 0.000 7.023

(4)
4
Lattice="4.073 0.000 0.000 0.000 4.073 0.000 -2.037 -2.037 4.412" Properties=species:S:1:pos:R:3 comment="CdFeHg2 GGA-PBEsol relaxed" vol_a3_per_atom=18.30 crystal_system=tetragonal formation_enthalpy_0k_mev_per_atom=374 spacegroup="I-4m2 (119)" pbc="T T T"
Fe 0.000 2.037 2.206
Cd 2.037 2.037 0.000
Hg 2.037 0.000 2.206
Hg 0.000 0.000 0.000

(5)
4
Lattice="3.115 0.000 0.000 0.000 4.487 0.000 -1.557 -2.244 5.990" Properties=species:S:1:pos:R:3 comment="CoHgSb2 GGA-PBEsol relaxed" vol_a3_per_atom=20.93 crystal_system=orthorhombic spacegroup="Immm (71)" e_form_raw_mev_per_atom=96 pbc="T T T"
Co 0.000 2.244 0.000
Sb 1.557 2.244 2.055
Sb 0.000 0.000 3.935
Hg 1.557 0.000 0.000

(6)
7
Lattice="-2.489 -0.792 -1.040 0.853 -2.679 -0.002 -2.833 0.565 10.150" Properties=species:S:1:pos:R:3 comment="Mn4Al3 GGA-PBEsol relaxed" vol_a3_per_atom=11.70 crystal_system=tetragonal formation_enthalpy_0k_mev_per_atom=-189 spacegroup="I4/mmm (139)" pbc="T T T"
Mn -3.115 -0.998 8.216
Mn -1.004 -0.322 2.647
Mn -1.354 -1.907 0.893
Mn -3.465 -2.584 6.461
Al -2.314 -2.215 3.424
Al -2.155 -0.691 5.684
Al 0.000 0.000 0.000

(7)
6
Lattice="2.956 0.000 0.000 0.000 4.167 0.000 -1.478 0.000 6.569" Properties=species:S:1:pos:R:3 comment="Zn2Ir GGA-PBEsol relaxed" vol_a3_per_atom=13.49 crystal_system=orthorhombic formation_enthalpy_0k_mev_per_atom=-232 spacegroup="Cmcm (63)" pbc="T T T"
Ir 1.478 3.125 5.186
Ir 0.000 1.042 1.383
Zn 0.000 3.125 3.026
Zn 1.478 3.125 0.820
Zn 1.478 1.042 3.543
Zn 0.000 1.042 5.749

(8)
4
Lattice="3.052 0.000 0.000 0.000 5.482 0.048 -1.526 -1.553 5.446" Properties=species:S:1:pos:R:3 comment="Ca2CdTc GGA-PBEsol relaxed" vol_a3_per_atom=22.83 crystal_system=monoclinic formation_enthalpy_0k_mev_per_atom=343 spacegroup="Cm (8)" pbc="T T T"
Tc 0.000 3.631 2.450
Cd 1.526 2.501 0.420
Ca 1.526 3.639 5.144
Ca 1.526 0.827 2.998

(9)
6
Lattice="-1.114 -2.489 0.769 1.955 -1.352 -1.542 7.223 -0.315 9.435" Properties=species:S:1:pos:R:3 comment="CoAu5 GGA-PBEsol relaxed" vol_a3_per_atom=15.90 crystal_system=tetragonal formation_enthalpy_0k_mev_per_atom=96 spacegroup="P4/mmm (123)" pbc="T T T"
Au 1.053 -0.046 1.376
Au 5.306 -2.134 5.996
Au 3.611 -0.158 4.718
Au 6.169 -0.269 8.059
Au 2.758 -2.022 2.667
Co 0.421 -1.920 -0.386

(10)
5
Lattice="-3.710 -1.193 3.971 0.726 -5.433 -0.954 4.082 -0.118 3.779" Properties=species:S:1:pos:R:3 comment="NbGeI3 GGA-PBEsol relaxed" vol_a3_per_atom=34.45 crystal_system=cubic spacegroup="Pm-3m (221)" e_form_raw_mev_per_atom=851 pbc="T T T"
Nb 0.549 -3.372 3.398
Ge 0.000 0.000 0.000
I -1.855 -0.597 1.985
I 0.363 -2.717 -0.477
I 2.041 -0.059 1.889

(11)
5
Lattice="-3.650 1.685 3.251 1.587 -3.409 3.549 3.300 3.503 1.890" Properties=species:S:1:pos:R:3 comment="ZnSn3Pb GGA-PBEsol relaxed" vol_a3_per_atom=27.65 crystal_system=cubic formation_enthalpy_0k_mev_per_atom=301 relative_energy_mev_per_atom=0.0 spacegroup="Pm-3m (221)" pbc="T T T"
Sn 0.793 -1.705 1.774
Sn -1.825 0.843 1.626
Sn 1.650 1.752 0.945
Pb 0.618 0.889 4.345
Zn 0.000 0.000 0.000

(12)
6
Lattice="5.666 0.000 0.000 2.833 4.907 0.000 2.833 1.636 4.627" Properties=species:S:1:pos:R:3 comment="CaZr4Re GGA-PBEsol relaxed" vol_a3_per_atom=21.44 crystal_system=cubic formation_enthalpy_0k_mev_per_atom=672 spacegroup="F-43m (216)" pbc="T T T"
Zr 7.108 2.439 1.725
Zr 4.225 2.439 1.725
Zr 5.666 3.271 4.079
Zr 5.666 4.936 1.725
Ca 8.499 4.907 3.470
Re 0.000 0.000 0.000

(13)
4
Lattice="-2.464 -1.656 -0.891 1.585 -0.994 -2.537 2.407 -5.565 3.683" Properties=species:S:1:pos:R:3 comment="LiCaNi2 GGA-PBEsol relaxed" vol_a3_per_atom=17.33 crystal_system=orthorhombic formation_enthalpy_0k_mev_per_atom=191 spacegroup="Pmm2 (25)" pbc="T T T"
Ca 1.059 -2.447 1.620
Ni -0.026 -2.280 -1.082
Ni 0.139 -0.321 0.212
Li 1.561 -5.948 1.346

(14)
4
Lattice="5.438 0.000 0.000 2.719 4.710 0.000 2.719 1.570 4.440" Properties=species:S:1:pos:R:3 comment="Ca2YAg GGA-PBEsol relaxed" vol_a3_per_atom=28.43 crystal_system=cubic formation_enthalpy_0k_mev_per_atom=169 relative_energy_mev_per_atom=287.0 spacegroup="Fm-3m (225)" pbc="T T T"
Ca 2.719 1.570 1.110
Ca 8.157 4.710 3.330
Ag 0.000 0.000 0.000
Y 5.438 3.140 2.220

(15)
34
Lattice="6.686 0.024 0.017 -2.495 6.203 0.017 -2.033 -3.021 10.538" Properties=species:S:1:pos:R:3 comment="Tm2W3O12 GGA-PBEsol relaxed" vol_a3_per_atom=12.89 crystal_system=monoclinic spacegroup="C2/c (15)" e_form_raw_mev_per_atom=-2636 pbc="T T T"
O -2.362 2.266 6.361
O -0.080 0.641 2.334
O -2.146 0.509 8.381
O 0.305 1.190 6.099
O -0.283 3.964 0.664
O -1.847 3.031 9.480
O -1.840 -1.792 10.091
O 2.441 -0.757 9.908
O 2.004 2.241 0.831
O -0.138 3.492 7.460
O 0.154 0.965 9.741
O 2.551 4.549 2.969
O 2.762 -0.281 5.933
O -0.393 -1.343 7.603
O 2.296 -0.286 3.112
O 1.853 2.017 4.473
O 2.109 4.075 5.750
O 4.520 0.940 4.211
O 4.304 2.697 2.191
O 0.049 -0.869 4.822
O 3.998 4.999 0.482
O 2.238 2.566 8.238
O -0.604 3.487 4.639
O 4.005 0.176 1.092
Tm -1.639 0.014 6.238
Tm 0.512 3.209 9.603
Tm 1.646 -0.003 0.969
Tm 3.797 3.193 4.334
W -2.793 3.112 7.920
W 4.951 0.094 2.652
W 1.577 0.167 4.709
W 0.581 3.039 5.863
W 3.613 3.193 0.594
W -1.455 0.013 9.978

(16)
4
Lattice="-0.183 3.845 -2.010 0.330 0.207 -4.325 -5.446 0.858 -2.555" Properties=species:S:1:pos:R:3 comment="BaCu2Ag GGA-PBEsol relaxed" vol_a3_per_atom=22.60 crystal_system=trigonal formation_enthalpy_0k_mev_per_atom=-6 spacegroup="R3m (160)" pbc="T T T"
Cu -1.171 1.241 -2.210
Cu -0.832 3.964 -6.414
Ag -1.754 2.535 -4.373
Ba -4.018 3.678 -6.671

(17)
10
Lattice="-4.723 -1.094 7.488 3.228 -5.041 6.613 2.727 3.811 7.590" Properties=species:S:1:pos:R:3 comment="CsRb2AsI6 GGA-PBEsol relaxed" vol_a3_per_atom=50.19 crystal_system=cubic spacegroup="Fm-3m (225)" e_form_raw_mev_per_atom=-876 pbc="T T T"
I -2.329 -1.124 8.993
I 2.057 -3.302 8.511
I -0.825 0.978 13.180
I 1.781 1.581 9.050
I -0.548 -3.906 12.641
I 3.562 -1.200 12.698
Cs 0.616 -1.162 10.846
Rb 0.924 -1.743 16.268
Rb 0.308 -0.581 5.423
As 0.000 0.000 0.000

(18)
4
Lattice="-1.113 -1.208 3.130 0.294 -3.372 -1.197 6.587 2.077 1.149" Properties=species:S:1:pos:R:3 comment="InCuSe2 GGA-PBEsol relaxed" vol_a3_per_atom=20.73 crystal_system=orthorhombic spacegroup="Imm2 (44)" e_form_raw_mev_per_atom=-96 pbc="T T T"
Se 2.077 -0.695 2.467
Se 5.525 -2.495 2.998
In 3.855 -1.814 0.671
Cu -0.331 -2.293 0.993

(19)
18
Lattice="-3.487 3.529 -2.950 -1.759 -4.443 -3.236 -6.093 -1.514 5.392" Properties=species:S:1:pos:R:3 comment="KNaLaTaO5 GGA-PBEsol relaxed" vol_a3_per_atom=15.32 crystal_system=tetragonal spacegroup="P4/nmm (129)" e_form_raw_mev_per_atom=-2768 pbc="T T T"
La -5.670 -1.214 -0.397
La -3.047 -0.757 2.696
O -8.004 -1.872 -1.013
O -7.641 0.299 3.744
O -1.076 -2.270 -1.445
O -5.960 -1.014 -2.874
O -5.452 -1.082 2.092
O -7.050 0.535 0.740
O -4.071 -2.925 -1.276
O -6.406 -3.489 0.339
O -3.264 -0.889 0.207
O -5.153 1.023 -1.391
K 0.000 0.000 0.000
K -2.623 -0.457 -3.093
Na -3.215 1.399 -0.173
Na -5.502 -3.370 2.472
Ta -6.280 0.637 2.540
Ta -2.437 -2.609 -0.241

(20)
4
Lattice="3.776 0.000 0.000 0.000 3.776 0.000 -1.888 -1.888 3.938" Properties=species:S:1:pos:R:3 comment="MnMo2Pt GGA-PBEsol relaxed" vol_a3_per_atom=14.04 crystal_system=tetragonal formation_enthalpy_0k_mev_per_atom=-93 relative_energy_mev_per_atom=14.0 spacegroup="I4/mmm (139)" pbc="T T T"
Mn 1.888 1.888 0.000
Mo 1.888 0.000 1.969
Mo 0.000 1.888 1.969
Pt 0.000 0.000 0.000